Below is a geometry-optimized Zn2GeBiO6 structure, with properties calculated at the PBE level.

The value obtained for the mass density is 5.6 g cm⁻³. For the total magnetization, the calculation gives 0.36 Bohr magnetons per cell. For the final energy, the calculation gives -53.49 eV/f.u.

Cell: 7.0864 6.9782 6.9782 Å, 72.21 70.88 70.88°
Last column: nearest neighbours and their distance in Å.
Fractional coordinates of all 20 atoms:
Zn1 0.8928 0.6473 0.7189  4 O 1.95-2.08
Bi1 0.7500 0.2325 0.7675  4 O 2.16-2.28
Zn2 0.6072 0.2811 0.3527  4 O 1.95-2.08
O1 0.4675 0.2490 0.6700  1 Ge 1.78
O2 0.0325 0.3300 0.7510  1 Ge 1.78
O3 0.5325 0.7510 0.3300  1 Ge 1.78
O4 0.6403 0.5634 0.7463  2 Zn 1.95-1.99, 1 Bi 2.16
O5 0.2339 0.1434 0.1041  1 Ge 1.78
O6 0.2661 0.8959 0.8566  1 Ge 1.78
Ge1 0.7500 0.8405 0.1595  4 O 1.78
O7 0.7339 0.1041 0.1434  1 Ge 1.78
Bi2 0.2500 0.7675 0.2325  4 O 2.16-2.28
Zn3 0.1072 0.3527 0.2811  4 O 1.95-2.08
O8 0.8597 0.2537 0.4366  2 Zn 1.95-1.99, 1 Bi 2.16
Ge2 0.2500 0.1595 0.8405  4 O 1.78
O9 0.3597 0.4366 0.2537  2 Zn 1.95-1.99, 1 Bi 2.16
O10 0.9675 0.6700 0.2490  1 Ge 1.78
Zn4 0.3928 0.7189 0.6473  4 O 1.95-2.08
O11 0.7661 0.8566 0.8959  1 Ge 1.78
O12 0.1403 0.7463 0.5634  2 Zn 1.95-1.99, 1 Bi 2.16